one | Here is crystalline Dy2TlH at its relaxed geometry from Alexandria. Energies are from PBE. Values from VASP.

## Properties
- SG: Cccm (66)
- Calculated density: 9.99 Mg/m³

Quantum ESPRESSO input file:
```
&SYSTEM
  ibrav = 0, nat = 8, ntyp = 3
/
ATOMIC_SPECIES
Dy 162.50 Dy.upf
Tl 204.38 Tl.upf
H 1.01 H.upf
CELL_PARAMETERS angstrom
2.6709 -6.2949 0.0000
2.6709 6.2949 0.0000
0.0000 0.0000 5.2439
ATOMIC_POSITIONS angstrom
Dy 1.3259 1.1897 0.0000
Dy 1.3259 -1.1897 2.6219
Dy 4.0160 1.1897 2.6219
Dy 4.0160 -1.1897 0.0000
Tl 1.3355 3.1475 2.6219
Tl 1.3355 -3.1475 0.0000
H 2.6709 0.0000 1.3110
H 2.6709 0.0000 3.9329
```

---

two | Here is crystalline Dy2TlH at its relaxed geometry from Alexandria. Energies are from PBE. Values from VASP.

## Properties
- SG: C2/m (12)
- Calculated density: 10.14 Mg/m³

Quantum ESPRESSO input file:
```
&SYSTEM
  ibrav = 0, nat = 8, ntyp = 3
/
ATOMIC_SPECIES
Dy 162.50 Dy.upf
Tl 204.38 Tl.upf
H 1.01 H.upf
CELL_PARAMETERS angstrom
5.7312 -2.4707 0.0000
5.7312 2.4707 0.0000
-2.8681 0.0000 6.1365
ATOMIC_POSITIONS angstrom
Dy -0.2401 0.0000 1.7046
Dy 1.0755 0.0000 5.7379
Dy 7.5187 0.0000 0.3987
Dy 8.8343 0.0000 4.4320
Tl 2.8735 0.0000 2.5747
Tl 5.7207 0.0000 3.5618
H 1.5090 0.0000 0.0893
H 7.0852 0.0000 6.0472
```

---

one has the most favorable energy; the next structure is 139 meV per atom above.